Crystalline NaLi2AcSb2 at its relaxed geometry. Source: Alexandria via LeMat-Bulk, functional PBE-GGA.

Structure (POSCAR):
```
NaLi2AcSb2
1.0
4.8089 0.0000 0.0000
-2.4044 4.1646 0.0000
0.0000 0.0000 7.8208
Sb Li Ac Na
2 2 1 1
Cartesian
0.0000 2.7764 2.0118
2.4044 1.3882 5.8090
2.4044 1.3882 2.7439
0.0000 2.7764 5.0769
0.0000 0.0000 0.0000
0.0000 0.0000 3.9104
```

Crystal system: trigonal

=====

Crystalline Ho5NpSb6 at its relaxed geometry. Source: Alexandria via LeMat-Bulk, functional PBE-GGA.

Structure (POSCAR):
```
Ho5NpSb6
1.0
-6.5220 1.6564 -3.4847
0.6667 -6.4465 3.9269
-0.3419 4.9438 5.7366
Ho Sb Np
5 6 1
Cartesian
-4.1265 -1.0437 -1.0150
-5.4972 2.7805 0.6164
-1.7287 -3.7465 1.4572
-3.0986 0.0768 3.0894
-0.7000 -2.6268 5.5624
-2.7534 1.3928 0.3139
-5.8434 1.4658 3.3908
-4.4724 -2.3545 1.7638
-1.7247 2.5082 4.4150
-0.3537 -1.3121 2.7880
-3.4437 -1.2391 5.8649
0.0000 0.0000 0.0000
```

Crystal system: monoclinic

=====

Number 1: magnetic moment 0.000 μB per formula unit, uncorrected formation energy -825 meV/atom. Number 2: magnetic moment 3.774 μB per formula unit, uncorrected formation energy -954 meV/atom.